(1)
# GGA-PBE HfCoHg2Br6, relaxed
data_HfCoHg2Br6
_space_group_name_H-M_alt 'F m -3 m'
_space_group_IT_number 225
_space_group_name_Hall '-F 4 2 3'
_cell_length_a 10.519
_cell_length_b 10.519
_cell_length_c 10.519
_cell_angle_alpha 90.00
_cell_angle_beta 90.00
_cell_angle_gamma 90.00
loop_
_atom_site_label
_atom_site_fract_x
_atom_site_fract_y
_atom_site_fract_z
Hf1 0.000 0.000 0.000
Co1 0.000 0.000 0.500
Hg1 0.250 0.250 0.250
Br1 0.000 0.000 0.250
# * raw total energy: -3.336 eV per atom

***

(2)
# GGA-PBE LuAgTe2PbS, relaxed
data_LuAgTe2PbS
_space_group_name_H-M_alt 'C m c m'
_space_group_IT_number 63
_space_group_name_Hall '-C 2c 2'
_cell_length_a 4.329
_cell_length_b 14.539
_cell_length_c 10.313
_cell_angle_alpha 90.00
_cell_angle_beta 90.00
_cell_angle_gamma 90.00
loop_
_atom_site_label
_atom_site_fract_x
_atom_site_fract_y
_atom_site_fract_z
Lu1 0.000 0.000 0.000
Ag1 0.000 0.482 0.250
Te1 0.000 0.353 0.050
Pb1 0.000 0.266 0.750
S1 0.000 0.075 0.250
# * raw total energy: -4.355 eV per atom

***

(3)
# GGA-PBE La2Nb2O5, relaxed
data_La2Nb2O5
_space_group_name_H-M_alt 'P 4/m m m'
_space_group_IT_number 123
_space_group_name_Hall '-P 4 2'
_cell_length_a 3.566
_cell_length_b 3.566
_cell_length_c 10.393
_cell_angle_alpha 90.00
_cell_angle_beta 90.00
_cell_angle_gamma 90.00
loop_
_atom_site_label
_atom_site_fract_x
_atom_site_fract_y
_atom_site_fract_z
La1 0.000 0.000 0.237
Nb1 0.500 0.500 0.000
Nb2 0.500 0.500 0.500
O1 0.000 0.000 0.000
O2 0.000 0.500 0.385
# * offset from the most stable computed form: 3.798 eV per formula unit

***

(4)
# GGA-PBE SmBi2O4F, relaxed
data_SmBi2O4F
_space_group_name_H-M_alt 'P 4/m m m'
_space_group_IT_number 123
_space_group_name_Hall '-P 4 2'
_cell_length_a 3.838
_cell_length_b 3.838
_cell_length_c 8.543
_cell_angle_alpha 90.00
_cell_angle_beta 90.00
_cell_angle_gamma 90.00
loop_
_atom_site_label
_atom_site_fract_x
_atom_site_fract_y
_atom_site_fract_z
Sm1 0.000 0.000 0.000
Bi1 0.500 0.500 0.301
O1 0.000 0.500 0.169
F1 0.000 0.000 0.500
# * raw total energy: -6.447 eV per atom